Entry 1:
TlRhPb2 | SCAN | single point on PBEsol structure

POSCAR file:
```
TlRhPb2
1.0
3.2210 0.0000 0.0000
0.0000 4.5882 0.0000
-1.6105 -2.2941 6.5362
Pb Tl Rh
2 1 1
Direct
0.8169 0.8169 0.6338 Pb
0.1831 0.1831 0.3662 Pb
0.0000 0.5000 0.0000 Tl
0.5000 0.0000 0.0000 Rh
```

Computed properties:
The calculation puts the density of states at the Fermi level at 1.76 states/eV per cell. The magnetic moment comes out at 0.00 μB/f.u. For the total energy, the calculation gives -64.387 eV/atom. As for the formation energy: 36 meV/atom.

Entry 2:
RhPb2W | SCAN | single point on PBEsol structure

POSCAR file:
```
RhPb2W
1.0
-1.8198 2.4264 -0.2126
-2.4304 -1.7916 0.3570
0.4797 1.1529 9.0510
Pb Rh W
2 1 1
Direct
0.0000 0.0000 0.9514 Pb
0.5000 0.5000 0.3062 Pb
0.0000 0.0000 0.5405 Rh
0.5000 0.5000 0.7019 W
```

Computed properties:
The calculation puts the density of states at the Fermi level at 2.49 states/eV per cell. The magnetic moment comes out at 0.00 μB/f.u. For the total energy, the calculation gives -63.452 eV/atom. As for the formation energy: 304 meV/atom.

Entry 3:
RhPb2W | SCAN | single point on PBEsol structure

POSCAR file:
```
RhPb2W
1.0
-0.3779 -1.6763 -2.6622
-2.1142 -4.0779 2.8679
-2.8958 4.6520 -0.6325
Pb Rh W
2 1 1
Direct
0.7630 0.7630 0.5261 Pb
0.2370 0.2370 0.4739 Pb
0.5000 0.0000 0.0000 Rh
0.0000 0.5000 0.0000 W
```

Computed properties:
The calculation puts the density of states at the Fermi level at 2.98 states/eV per cell. The magnetic moment comes out at 0.00 μB/f.u. For the total energy, the calculation gives -62.836 eV/atom. As for the formation energy: 919 meV/atom.

Entry 4:
RhPbW2 | SCAN | single point on PBEsol structure

POSCAR file:
```
RhPbW2
1.0
4.5558 0.0000 0.0000
2.2779 3.9454 0.0000
2.2779 1.3151 3.7198
Pb Rh W
1 1 2
Direct
0.5000 0.5000 0.5000 Pb
0.2500 0.2500 0.2500 Rh
0.0000 0.0000 0.0000 W
0.7500 0.7500 0.7500 W
```

Computed properties:
The calculation puts the density of states at the Fermi level at 2.60 states/eV per cell. The magnetic moment comes out at 0.00 μB/f.u. For the total energy, the calculation gives -61.506 eV/atom. As for the formation energy: 726 meV/atom.

Entry 5:
RhPbW2 | SCAN | single point on PBEsol structure

POSCAR file:
```
RhPbW2
1.0
3.0378 0.0000 0.0000
0.0000 4.6546 0.0049
-1.5189 -1.0232 4.7338
Pb Rh W
1 1 2
Direct
0.5000 0.0000 0.0000 Pb
0.0000 0.5000 0.0000 Rh
0.2576 0.2725 0.5152 W
0.7424 0.7275 0.4848 W
```

Computed properties:
The calculation puts the density of states at the Fermi level at 2.17 states/eV per cell. The magnetic moment comes out at 0.00 μB/f.u. For the total energy, the calculation gives -61.692 eV/atom. As for the formation energy: 540 meV/atom.

Entry 6:
RhPbW2 | SCAN | single point on PBEsol structure

POSCAR file:
```
RhPbW2
1.0
2.9348 0.0000 0.0000
1.4674 2.5416 0.0000
1.4674 0.8472 9.2593
Pb Rh W
1 1 2
Direct
0.5027 0.5027 0.4918 Pb
0.2576 0.2576 0.2271 Rh
0.9953 0.9953 0.0141 W
0.7443 0.7443 0.7670 W
```

Computed properties:
The calculation puts the density of states at the Fermi level at 3.21 states/eV per cell. The magnetic moment comes out at 0.00 μB/f.u. For the total energy, the calculation gives -61.622 eV/atom. As for the formation energy: 610 meV/atom.

Entry 7:
RhPbW2 | SCAN | single point on PBEsol structure

POSCAR file:
```
RhPbW2
1.0
-1.4925 -2.2706 -1.0166
2.4361 -0.2690 -1.5523
3.2537 -4.7968 5.9373
Pb Rh W
1 1 2
Direct
0.0000 0.0000 0.4911 Pb
0.5000 0.5000 0.2223 Rh
0.0000 0.0000 0.0128 W
0.5000 0.5000 0.7739 W
```

Computed properties:
The calculation puts the density of states at the Fermi level at 3.10 states/eV per cell. The magnetic moment comes out at 0.00 μB/f.u. For the total energy, the calculation gives -61.733 eV/atom. As for the formation energy: 499 meV/atom.

Entry 8:
RhPbW | SCAN | single point on PBEsol structure

POSCAR file:
```
RhPbW
1.0
2.9936 0.0000 0.0000
0.0000 2.9936 0.0000
-1.4968 -1.4968 5.9834
Pb Rh W
1 1 1
Direct
0.9990 0.9990 0.9980 Pb
0.3137 0.3137 0.6274 Rh
0.6873 0.6873 0.3746 W
```

Computed properties:
The calculation puts the density of states at the Fermi level at 2.96 states/eV per cell. The magnetic moment comes out at 0.00 μB/f.u. For the total energy, the calculation gives -59.301 eV/atom. As for the formation energy: 446 meV/atom.

Entry 9:
RhPb2W | SCAN | single point on PBEsol structure

POSCAR file:
```
RhPb2W
1.0
3.9862 0.0000 0.0000
0.0000 3.9862 0.0000
-1.9931 -1.9931 4.8151
Pb Rh W
2 1 1
Direct
0.0000 0.0000 0.0000 Pb
0.7500 0.2500 0.5000 Pb
0.5000 0.5000 0.0000 Rh
0.2500 0.7500 0.5000 W
```

Computed properties:
The calculation puts the density of states at the Fermi level at 3.44 states/eV per cell. The magnetic moment comes out at 0.00 μB/f.u. For the total energy, the calculation gives -62.818 eV/atom. As for the formation energy: 937 meV/atom.

Entry 10:
RhPbW2 | SCAN | single point on PBEsol structure

POSCAR file:
```
RhPbW2
1.0
2.8985 0.0000 0.0000
1.4493 2.5102 0.0000
1.4493 0.8367 9.3962
Pb Rh W
1 1 2
Direct
0.5000 0.5000 0.5000 Pb
0.0000 0.0000 0.0000 Rh
0.2581 0.2581 0.2258 W
0.7419 0.7419 0.7742 W
```

Computed properties:
The calculation puts the density of states at the Fermi level at 3.51 states/eV per cell. The magnetic moment comes out at 0.00 μB/f.u. For the total energy, the calculation gives -61.490 eV/atom. As for the formation energy: 742 meV/atom.

Entry 11:
Y2RhPb | SCAN | single point on PBEsol structure

POSCAR file:
```
Y2RhPb
1.0
-2.8973 1.1674 -1.3811
0.9807 -1.1773 -3.0524
-3.5368 -6.9507 1.5445
Pb Y Rh
1 2 1
Direct
0.5000 0.5000 0.5000 Pb
0.0000 0.0000 0.2093 Y
0.0000 0.0000 0.7907 Y
0.5000 0.5000 0.0000 Rh
```

Computed properties:
The calculation puts the density of states at the Fermi level at 1.81 states/eV per cell. The magnetic moment comes out at 0.00 μB/f.u. For the total energy, the calculation gives -42.154 eV/atom. As for the formation energy: -845 meV/atom.

Entry 12:
Y2RhPb | SCAN | single point on PBEsol structure

POSCAR file:
```
Y2RhPb
1.0
-1.5041 2.7003 -1.8698
1.0170 -2.0898 -3.8360
-5.5231 -2.9699 0.1537
Pb Rh Y
1 1 2
Direct
0.0000 0.0000 0.4524 Pb
0.5000 0.5000 0.8486 Rh
0.0000 0.0000 0.9311 Y
0.5000 0.5000 0.2679 Y
```

Computed properties:
The calculation puts the density of states at the Fermi level at 2.27 states/eV per cell. The magnetic moment comes out at 0.00 μB/f.u. For the total energy, the calculation gives -41.824 eV/atom. As for the formation energy: -514 meV/atom.